Entry from Alexandria via LeMat-Bulk: a relaxed structure of La6AsRh2I3 (PBE).

Cell lengths 7.5016, 7.5016, 8.4751 Å; angles 98.39, 98.39, 120.05 degrees
Fractional coordinates of all 12 atoms:
La 0.9351 0.5880 0.8090
La 0.7163 0.7163 0.1915
La 0.0649 0.4120 0.1910
La 0.5880 0.9351 0.8090
La 0.2837 0.2837 0.8085
La 0.4120 0.0649 0.1910
As 0.0000 0.0000 0.0000
Rh 0.3329 0.6671 0.0000
Rh 0.6671 0.3329 0.0000
I 0.1632 0.8368 0.5000
I 0.8368 0.1632 0.5000
I 0.5000 0.5000 0.5000

Computed properties:
Its total energy is -66.99 eV/cell.

Entry from Alexandria via LeMat-Bulk: a relaxed structure of La2CrCo (PBE).

Cell lengths 4.9785, 4.9785, 4.9785 Å; angles 60.00, 60.00, 60.00 degrees
Last column: magnetic moment on the atom in μB.
Fractional coordinates of all 4 atoms:
Cr 0.0000 0.0000 0.0000  0.12
Co 0.5000 0.5000 0.5000  -0.97
La 0.2500 0.2500 0.2500  0.06
La 0.7500 0.7500 0.7500  0.06

Computed properties:
As for the excess energy over the best structure of this formula in the dataset: 368 meV/atom. The formation energy from the elements comes out at 571 meV per atom.

Entry from Alexandria via LeMat-Bulk: a relaxed structure of Rb2HfRuI6 (PBE).

Cell lengths 8.1670, 8.1670, 8.1631 Å; angles 59.98, 59.98, 90.00 degrees
Last column: magnetic moment on the atom in μB.
Fractional coordinates of all 10 atoms:
I 0.2498 0.2498 0.5005  0.02
I 0.7502 0.7502 0.4995  0.02
I 0.2497 0.2497 0.0000  0.02
I 0.7503 0.7503 0.0000  0.02
I 0.7503 0.2497 0.0000  0.02
I 0.2497 0.7503 0.0000  0.02
Ru 0.5000 0.5000 0.0000  1.66
Hf 0.0000 0.0000 0.0000  0.09
Rb 0.7500 0.2500 0.5000  0.00
Rb 0.2500 0.7500 0.5000  0.00

Computed properties:
Its total energy is -36.69 eV/cell.

Entry from Alexandria via LeMat-Bulk: a relaxed structure of Cr2CuPt (PBE).

Cell lengths 3.8774, 2.5939, 5.7013 Å; angles 62.94, 90.00, 90.00 degrees
Fractional coordinates of all 4 atoms:
Cr 0.0000 0.9744 0.0249
Cr 0.0000 0.5256 0.4751
Cu 0.5000 0.2500 0.2500
Pt 0.5000 0.7500 0.7500

Computed properties:
The formation energy from the elements comes out at 54 meV per atom.

Entry from Alexandria via LeMat-Bulk: a relaxed structure of SrTl2BiSb (PBE).

Cell lengths 5.7149, 6.3271, 5.7149 Å; angles 90.00, 90.00, 90.00 degrees
Fractional coordinates of all 5 atoms:
Sb 0.0000 0.0000 0.0000
Tl 0.0000 0.0000 0.5000
Tl 0.5000 0.0000 0.0000
Bi 0.5000 0.5000 0.5000
Sr 0.0000 0.5000 0.0000

Computed properties:
Its total energy is -14.07 eV/cell.

Entry from Alexandria via LeMat-Bulk: a relaxed structure of Tl2Cu2BiS4 (PBE).

Cell lengths 3.9076, 7.6747, 7.6674 Å; angles 108.80, 90.00, 104.75 degrees
Fractional coordinates of all 9 atoms:
Tl 0.8683 0.7366 0.4466
Tl 0.1317 0.2634 0.5534
Cu 0.3090 0.6180 0.0009
Cu 0.6910 0.3820 0.9991
Bi 0.0000 0.0000 0.0000
S 0.7977 0.5955 0.8257
S 0.2023 0.4045 0.1743
S 0.4661 0.9322 0.2339
S 0.5339 0.0678 0.7661

Computed properties:
Its total energy is -35.98 eV/cell.